Density functional theory data (PBE-GGA) for a relaxed LaYOs2 crystal.

Results
calculated density	12.3	g/cm3
final energy	-8.1303	eV per atom

Cell lengths 3.116, 4.449, 6.046 Å; angles 90.00, 102.46, 90.00 degrees
Space group P2/m (No. 10)
One atom of each set of equivalent atoms:
La 0.000 0.000 0.000 [1 per cell]
Y 0.500 0.000 0.500 [1 per cell]
Os 0.177 0.500 0.779 [2 per cell]

Density functional theory data (PBE-GGA) for a relaxed LaPm2In6 crystal.

Results
calculated density	7.6	g/cm3
final energy	-3.9013	eV per atom

Cell lengths 8.6977, 8.6977, 3.7349 Å; angles 90.00, 90.00, 120.00 degrees
Space group P6/mmm (No. 191)
One atom of each set of equivalent atoms:
La 0.0000 0.0000 0.0000 [1 per cell]
Pm 0.3333 0.6667 0.0000 [2 per cell]
In 0.0000 0.3349 0.5000 [6 per cell]

Density functional theory data (PBE-GGA) for a relaxed LiAgHg2F6 crystal.

Results
calculated density	6.9	g/cm3
E_form (uncorrected)	-1.6098	eV per atom

Cell lengths 5.9279, 5.9279, 14.8426 Å; angles 90.00, 90.00, 120.00 degrees
Space group R3 (No. 146, hexagonal axes)
One atom of each set of equivalent atoms:
Li 0.0000 0.0000 0.0000 [3 per cell]
Ag 0.0000 0.0000 0.5188 [3 per cell]
Hg 0.0000 0.0000 0.2998 [3 per cell]
Hg 0.0000 0.0000 0.7850 [3 per cell]
F 0.0094 0.6437 0.7299 [9 per cell]
F 0.0143 0.2820 0.9062 [9 per cell]

Density functional theory data (PBE-GGA) for a relaxed AcPuGe4 crystal.

Results
calculated density	9.4	g/cm3
final energy	-6.4748	eV per atom

Cell lengths 8.145, 8.145, 8.145 Å; angles 90.00, 90.00, 90.00 degrees
Space group F-43m (No. 216)
One atom of each set of equivalent atoms:
Ac 0.000 0.000 0.000 [4 per cell]
Pu 0.250 0.250 0.750 [4 per cell]
Ge 0.122 0.122 0.378 [16 per cell]

Density functional theory data (PBE-GGA) for a relaxed LiSc2CdMo crystal.

Results
calculated density	3.8	g/cm3
final energy	-4.7808	eV per atom

Cell lengths 4.919, 4.919, 5.486 Å; angles 90.00, 90.00, 90.00 degrees
Space group P4/mmm (No. 123)
One atom of each set of equivalent atoms:
Li 0.000 0.000 0.000 [1 per cell]
Sc 0.000 0.500 0.500 [2 per cell]
Cd 0.500 0.500 0.000 [1 per cell]
Mo 0.500 0.500 0.500 [1 per cell]

Density functional theory data (PBE-GGA) for a relaxed Pu3Tl5As12 crystal.

Results
calculated density	6.7	g/cm3
final energy	-5.6717	eV per atom

Cell lengths 17.350, 17.350, 17.350 Å; angles 90.00, 90.00, 90.00 degrees
Space group Ia-3d (No. 230)
One atom of each set of equivalent atoms:
Pu 0.000 0.250 0.125 [24 per cell]
Tl 0.000 0.000 0.000 [16 per cell]
Tl 0.000 0.250 0.375 [24 per cell]
As 0.004 0.087 0.165 [96 per cell]

Density functional theory data (PBE-GGA) for a relaxed K2PrAgF6 crystal.

Results
calculated density	3.8	g/cm3
E_form (uncorrected)	-2.9014	eV per atom

Cell lengths 6.388, 6.562, 11.037 Å; angles 90.00, 123.03, 90.00 degrees
Space group P2_1/c (No. 14)
One atom of each set of equivalent atoms:
K 0.218 0.051 0.242 [4 per cell]
Pr 0.500 0.000 0.000 [2 per cell]
Ag 0.000 0.000 0.500 [2 per cell]
F 0.160 0.197 0.949 [4 per cell]
F 0.233 0.723 0.924 [4 per cell]
F 0.389 0.063 0.766 [4 per cell]

Density functional theory data (PBE-GGA) for a relaxed Pr3EuPd crystal.

Results
calculated density	5.9	g/cm3
final energy	-6.0777	eV per atom

Cell lengths 5.761, 5.761, 5.761 Å; angles 90.00, 90.00, 90.00 degrees
Space group Pm-3m (No. 221)
One atom of each set of equivalent atoms:
Pr 0.000 0.000 0.500 [3 per cell]
Eu 0.500 0.500 0.500 [1 per cell]
Pd 0.000 0.000 0.000 [1 per cell]

Density functional theory data (PBE-GGA) for a relaxed LaDy3Er7 crystal.

Results
calculated density	8.3	g/cm3
final energy	-4.3447	eV per atom

Cell lengths 12.512, 11.149, 5.778 Å; angles 90.00, 117.39, 90.00 degrees
Space group C2/m (No. 12)
One atom of each set of equivalent atoms:
La 0.000 0.000 0.000 [2 per cell]
Dy 0.000 0.293 0.500 [4 per cell]
Dy 0.000 0.500 0.000 [2 per cell]
Er 0.000 0.000 0.500 [2 per cell]
Er 0.204 0.500 0.703 [4 per cell]
Er 0.211 0.308 0.211 [8 per cell]

Density functional theory data (PBE-GGA) for a relaxed DySc4Tl2 crystal.

Results
calculated density	6.8	g/cm3
final energy	-4.6823	eV per atom

Cell lengths 5.486, 5.486, 12.231 Å; angles 90.00, 90.00, 90.00 degrees
Space group I4/mmm (No. 139)
One atom of each set of equivalent atoms:
Dy 0.000 0.000 0.000 [2 per cell]
Sc 0.000 0.500 0.000 [4 per cell]
Sc 0.000 0.500 0.250 [4 per cell]
Tl 0.000 0.000 0.366 [4 per cell]

Density functional theory data (PBE-GGA) for a relaxed LiGdTmOs crystal.

Results
calculated density	10.6	g/cm3
final energy	-8.1589	eV per atom

Cell lengths 6.906, 6.906, 6.906 Å; angles 90.00, 90.00, 90.00 degrees
Space group F-43m (No. 216)
One atom of each set of equivalent atoms:
Li 0.000 0.000 0.000 [4 per cell]
Gd 0.250 0.250 0.750 [4 per cell]
Tm 0.250 0.250 0.250 [4 per cell]
Os 0.000 0.000 0.500 [4 per cell]

Density functional theory data (PBE-GGA) for a relaxed SrMg2Re crystal.

Results
calculated density	5.9	g/cm3
final energy	-3.5706	eV per atom

Cell lengths 4.561, 4.561, 8.717 Å; angles 90.00, 90.00, 90.00 degrees
Space group I-4m2 (No. 119)
One atom of each set of equivalent atoms:
Sr 0.000 0.000 0.000 [2 per cell]
Mg 0.000 0.000 0.500 [2 per cell]
Mg 0.000 0.500 0.750 [2 per cell]
Re 0.000 0.500 0.250 [2 per cell]

Density functional theory data (PBE-GGA) for a relaxed La2CuGeSe5 crystal.

Results
calculated density	5.9	g/cm3
E_form (uncorrected)	-1.1979	eV per atom

Cell lengths 4.260, 18.067, 11.805 Å; angles 90.00, 90.00, 90.00 degrees
Space group Cmc2_1 (No. 36)
One atom of each set of equivalent atoms:
La 0.000 0.114 0.000 [4 per cell]
La 0.000 0.122 0.621 [4 per cell]
Cu 0.000 0.254 0.432 [4 per cell]
Ge 0.000 0.408 0.792 [4 per cell]
Se 0.000 0.040 0.383 [4 per cell]
Se 0.000 0.303 0.644 [4 per cell]
Se 0.000 0.305 0.964 [4 per cell]
Se 0.000 0.361 0.314 [4 per cell]
Se 0.000 0.493 0.607 [4 per cell]

Density functional theory data (PBE-GGA) for a relaxed Al2TlOs crystal.

Results
calculated density	9.9	g/cm3
final energy	-5.3548	eV per atom

Cell lengths 3.071, 3.070, 8.096 Å; angles 90.00, 99.49, 90.00 degrees
Space group P2/m (No. 10)
One atom of each set of equivalent atoms:
Al 0.077 0.000 0.176 [2 per cell]
Tl 0.000 0.500 0.500 [1 per cell]
Os 0.500 0.500 0.000 [1 per cell]

Density functional theory data (PBE-GGA) for a relaxed PmSm2Y7 crystal.

Results
calculated density	4.4	g/cm3
final energy	-5.2530	eV per atom

Cell lengths 8.783, 16.249, 5.596 Å; angles 90.00, 90.00, 90.00 degrees
Space group Cmmm (No. 65)
One atom of each set of equivalent atoms:
Pm 0.000 0.000 0.000 [2 per cell]
Sm 0.000 0.297 0.500 [4 per cell]
Y 0.000 0.219 0.000 [4 per cell]
Y 0.000 0.500 0.500 [2 per cell]
Y 0.177 0.115 0.500 [8 per cell]

Density functional theory data (PBE-GGA) for a relaxed CrRhSeBr2 crystal.

Results
calculated density	5.1	g/cm3
E_form (uncorrected)	0.3400	eV per atom

Cell lengths 5.186, 5.186, 4.753 Å; angles 90.00, 90.00, 90.00 degrees
Space group P4/mmm (No. 123)
One atom of each set of equivalent atoms:
Cr 0.000 0.000 0.000 [1 per cell]
Rh 0.500 0.500 0.500 [1 per cell]
Se 0.500 0.500 0.000 [1 per cell]
Br 0.000 0.500 0.500 [2 per cell]

Density functional theory data (PBE-GGA) for a relaxed LaRe2As crystal.

Results
calculated density	13.2	g/cm3
final energy	-7.9443	eV per atom

Cell lengths 3.227, 5.093, 8.943 Å; angles 90.00, 90.00, 90.00 degrees
Space group Cmmm (No. 65)
One atom of each set of equivalent atoms:
La 0.000 0.000 0.000 [2 per cell]
Re 0.000 0.500 0.287 [4 per cell]
As 0.000 0.000 0.500 [2 per cell]

Density functional theory data (PBE-GGA) for a relaxed Zr8Co2Rh crystal.

Results
calculated density	7.2	g/cm3
final energy	-8.4186	eV per atom

Cell lengths 16.686, 4.664, 6.021 Å; angles 90.00, 109.77, 90.00 degrees
Space group C2/m (No. 12)
One atom of each set of equivalent atoms:
Zr 0.029 0.000 0.275 [4 per cell]
Zr 0.093 0.500 0.980 [4 per cell]
Zr 0.177 0.500 0.514 [4 per cell]
Zr 0.202 0.000 0.847 [4 per cell]
Co 0.169 0.000 0.238 [4 per cell]
Rh 0.000 0.500 0.500 [2 per cell]

Density functional theory data (PBE-GGA) for a relaxed NaTi2RuW crystal.

Results
calculated density	7.7	g/cm3
final energy	-5.9093	eV per atom

Cell lengths 4.413, 4.413, 4.448 Å; angles 90.00, 90.00, 90.00 degrees
Space group P4/mmm (No. 123)
One atom of each set of equivalent atoms:
Na 0.000 0.000 0.000 [1 per cell]
Ti 0.000 0.500 0.000 [2 per cell]
Ru 0.000 0.000 0.500 [1 per cell]
W 0.500 0.500 0.500 [1 per cell]

Density functional theory data (PBE-GGA) for a relaxed Mo2Pt crystal.

Results
calculated density	13.6	g/cm3
final energy	-9.3317	eV per atom

Cell lengths 4.4589, 4.4589, 5.5038 Å; angles 90.00, 90.00, 120.00 degrees
Space group P6_3/mmc (No. 194)
One atom of each set of equivalent atoms:
Mo 0.0000 0.0000 0.0000 [2 per cell]
Mo 0.3333 0.6667 0.2500 [2 per cell]
Pt 0.3333 0.6667 0.7500 [2 per cell]

Density functional theory data (PBE-GGA) for a relaxed TePO2 crystal.

Results
calculated density	3.6	g/cm3
E_form (uncorrected)	-0.4432	eV per atom

Cell lengths 3.2178, 3.2178, 29.2789 Å; angles 90.00, 90.00, 120.00 degrees
Space group R-3m (No. 166, hexagonal axes)
One atom of each set of equivalent atoms:
Te 0.0000 0.0000 0.0000 [3 per cell]
P 0.0000 0.0000 0.5000 [3 per cell]
O 0.0000 0.0000 0.4495 [6 per cell]